1.
Below is an optimized crystal structure of Li3Pm2TmS6, with properties calculated at the PBE level.

Cell: 6.8889 6.8889 6.5952 Å, 99.90 99.90 120.08°
With the nearest neighbours (Å) after each atom.
Sites, in units of the cell vectors:
S1 0.2404 0.2404 0.7487  3 Li 2.67-2.81, 1 Tm 2.71, 2 Pm 2.81
S2 0.9162 0.5936 0.7469  3 Li 2.72-2.90, 1 Tm 2.72, 2 Pm 2.81
S3 0.7596 0.7596 0.2513  3 Li 2.67-2.81, 1 Tm 2.71, 2 Pm 2.81
S4 0.4064 0.0838 0.2531  3 Li 2.72-2.90, 1 Tm 2.72, 2 Pm 2.81
S5 0.0838 0.4064 0.2531  3 Li 2.72-2.90, 1 Tm 2.72, 2 Pm 2.81
S6 0.5936 0.9162 0.7469  3 Li 2.72-2.90, 1 Tm 2.72, 2 Pm 2.81
Pm1 0.3327 0.6673 0.0000  6 S 2.81
Pm2 0.6673 0.3327 0.0000  6 S 2.81
Li1 0.1586 0.8414 0.5000  6 S 2.67-2.90
Li2 0.8414 0.1586 0.5000  6 S 2.67-2.90
Li3 0.5000 0.5000 0.5000  6 S 2.73-2.81
Tm1 0.0000 0.0000 0.0000  6 S 2.71-2.72

Energy relative to the elements, uncorrected (eV per atom): -1.815
VASP energy (eV/atom): -5.522

***

2.
Below is an optimized crystal structure of LiPm2TmS4, with properties calculated at the PBE level.

Cell: 3.9311 6.7794 6.8258 Å, 109.37 90.00 90.00°
With the nearest neighbours (Å) after each atom.
Sites, in units of the cell vectors:
Li1 0.0000 0.0000 0.0000  6 S 2.69-2.72
S1 0.5000 0.2444 0.2333  1 Tm 2.71, 2 Li 2.72, 3 Pm 2.84
S2 0.0000 0.2535 0.7683  1 Li 2.69, 2 Tm 2.72, 3 Pm 2.84-2.86
S3 0.5000 0.7556 0.7667  1 Tm 2.71, 2 Li 2.72, 3 Pm 2.84
S4 0.0000 0.7465 0.2317  1 Li 2.69, 2 Tm 2.72, 3 Pm 2.84-2.86
Pm1 0.0000 0.5000 0.5000  6 S 2.84-2.86
Pm2 0.5000 0.0000 0.5000  6 S 2.84
Tm1 0.5000 0.5000 0.0000  6 S 2.71-2.72

Energy relative to the elements, uncorrected (eV per atom): -1.922
VASP energy (eV/atom): -5.972

***

3.
Below is an optimized crystal structure of Li4PmTm3S8, with properties calculated at the PBE level.

Cell: 7.8052 7.6460 7.8035 Å, 120.72 120.01 90.00°
With the nearest neighbours (Å) after each atom.
Sites, in units of the cell vectors:
S1 0.2548 0.7506 0.5096  3 Li 2.68-2.76, 2 Tm 2.71, 1 Pm 2.78
S2 0.2549 0.7506 0.9961  3 Li 2.68-2.76, 2 Tm 2.71, 1 Pm 2.78
S3 0.7451 0.2494 0.0039  3 Li 2.68-2.76, 2 Tm 2.71, 1 Pm 2.78
S4 0.7490 0.7466 0.4980  3 Tm 2.72, 3 Li 2.74
S5 0.7452 0.2494 0.4904  3 Li 2.68-2.76, 2 Tm 2.71, 1 Pm 2.78
S6 0.7413 0.7506 0.9961  3 Li 2.68-2.76, 2 Tm 2.71, 1 Pm 2.78
S7 0.2587 0.2494 0.0039  3 Li 2.68-2.76, 2 Tm 2.71, 1 Pm 2.78
S8 0.2510 0.2534 0.5020  3 Tm 2.72, 3 Li 2.74
Li1 0.0000 0.0000 0.0000  6 S 2.74-2.76
Li2 0.5000 0.0000 0.0000  6 S 2.68
Li3 0.0000 0.0000 0.5000  6 S 2.74-2.76
Li4 0.5000 0.0000 0.5000  6 S 2.74-2.76
Tm1 0.5000 0.5000 0.0000  6 S 2.71-2.72
Tm2 0.5000 0.5000 0.5000  6 S 2.71-2.72
Tm3 0.0000 0.5000 0.5000  6 S 2.71-2.72
Pm1 0.0000 0.5000 0.0000  6 S 2.78

Energy relative to the elements, uncorrected (eV per atom): -1.841
VASP energy (eV/atom): -5.518

***

no.,density of states at the Fermi level (states/eV per atom)
1,0.000
2,0.319
3,0.000